Record 1
A relaxed PmGe2BOs2 crystal, computed with PBE.

Geometry as POSCAR:
```
PmGe2BOs2
1.0
4.208 0.000 0.000
0.000 4.208 0.000
0.000 0.000 5.539
Pm Ge B Os
1 2 1 2
direct
0.000 0.000 0.000
0.500 0.500 0.223
0.500 0.500 0.777
0.000 0.000 0.500
0.000 0.500 0.500
0.500 0.000 0.500
```

## Properties
Total magnetization ... 0.0 μB/f.u.
Symmetry ... P4/mmm, No. 123
Formation energy from the elements ... -0.353 eV per atom
VASP energy ... -0.5542 Ry per atom
Fermi-level density of states ... 0.465 states/eV per atom

Record 2
A relaxed SrAsSe2F crystal, computed with PBE.

Geometry as POSCAR:
```
SrAsSe2F
1.0
5.949 0.000 0.000
0.000 5.949 0.000
0.000 0.000 6.131
Sr As Se F
1 1 2 1
direct
0.000 0.000 0.000
0.000 0.000 0.500
0.000 0.500 0.000
0.500 0.000 0.000
0.500 0.500 0.500
```

## Properties
Total magnetization ... 1.0 μB/f.u.
Symmetry ... P4/mmm, No. 123
Uncorrected formation energy ... 0.346 eV/atom
VASP energy ... -0.1976 Ry per atom
Fermi-level density of states ... 1.689 states/eV per atom